Entry from Alexandria: ZrTl2In after structural relaxation (PBE).

The formation enthalpy at 0 K comes out at 246 meV per atom. The energy comes out at -3.758 eV/atom. The value obtained for the spin magnetization is 0.00 μB per formula unit.

The space group is I-42d (No. 122) and the conventional cell measures 8.2047, 8.2047 and 6.2648 Å, with angles of 90.00, 90.00 and 90.00 degrees. The distinct sites, in fractional coordinates, are Zr at (0.0000, 0.0000, 0.0000), Tl at (0.2472, 0.2500, 0.6250) and In at (0.0000, 0.0000, 0.5000).


Entry from Alexandria: Zr5TlIn after structural relaxation (PBE).

The formation enthalpy at 0 K comes out at 109 meV per atom. The energy comes out at -6.726 eV/atom. The value obtained for the spin magnetization is 0.00 μB per formula unit.

The space group is C2/c (No. 15) and the conventional cell measures 9.4514, 12.0968 and 6.1672 Å, with angles of 90.00, 104.75 and 90.00 degrees. The distinct sites, in fractional coordinates, are Zr at (0.0000, 0.2272, 0.2500), Zr at (0.2157, 0.3632, 0.6113), Zr at (0.2370, 0.1399, 0.8674), Tl at (0.0000, 0.0000, 0.0000) and In at (0.0000, 0.4875, 0.2500).


Entry from Alexandria: Zr3TlIn after structural relaxation (PBE).

The formation enthalpy at 0 K comes out at -20 meV per atom. The energy comes out at -6.170 eV/atom. The value obtained for the spin magnetization is 0.00 μB per formula unit.

The space group is P2_1/m (No. 11) and the conventional cell measures 5.5859, 5.6793 and 7.8216 Å, with angles of 90.00, 108.88 and 90.00 degrees. The distinct sites, in fractional coordinates, are Zr at (0.0000, 0.0000, 0.0000), Zr at (0.1082, 0.2500, 0.4163), Zr at (0.4640, 0.7500, 0.7635), Tl at (0.2903, 0.7500, 0.3621) and In at (0.3405, 0.2500, 0.8299).


Entry from Alexandria: Zr2Tl2In after structural relaxation (PBE).

The formation enthalpy at 0 K comes out at 89 meV per atom. The energy comes out at -4.825 eV/atom. The value obtained for the spin magnetization is 0.00 μB per formula unit.

The space group is P4/mbm (No. 127) and the conventional cell measures 8.2793, 8.2793 and 3.6554 Å, with angles of 90.00, 90.00 and 90.00 degrees. The distinct sites, in fractional coordinates, are Zr at (0.1289, 0.3711, 0.0000), Tl at (0.1736, 0.6736, 0.5000) and In at (0.0000, 0.0000, 0.0000).


Entry from Alexandria: Zr7Tl2In2 after structural relaxation (PBE).

The formation enthalpy at 0 K comes out at 305 meV per atom. The energy comes out at -6.063 eV/atom. The value obtained for the spin magnetization is 0.82 μB per formula unit.

The space group is C2/m (No. 12) and the conventional cell measures 10.5379, 5.9515 and 8.7912 Å, with angles of 90.00, 91.15 and 90.00 degrees. The distinct sites, in fractional coordinates, are Zr at (0.0000, 0.0000, 0.0000), Zr at (0.0016, 0.5000, 0.2018), Zr at (0.2479, 0.2475, 0.3044), Tl at (0.0000, 0.2421, 0.5000) and In at (0.2195, 0.5000, 0.0011).


Entry from Alexandria: ZrTl2In after structural relaxation (PBE).

The formation enthalpy at 0 K comes out at 25 meV per atom. The energy comes out at -3.980 eV/atom. The value obtained for the spin magnetization is 0.00 μB per formula unit.

The space group is P4/mmm (No. 123) and the conventional cell measures 4.6146, 4.6146 and 4.5517 Å, with angles of 90.00, 90.00 and 90.00 degrees. The distinct sites, in fractional coordinates, are Zr at (0.0000, 0.0000, 0.0000), Tl at (0.0000, 0.5000, 0.5000) and In at (0.5000, 0.5000, 0.0000).


Entry from Alexandria: ZrTlIn2 after structural relaxation (PBE).

The formation enthalpy at 0 K comes out at -87 meV per atom. The energy comes out at -4.185 eV/atom. The value obtained for the spin magnetization is 0.00 μB per formula unit.

The space group is I-4m2 (No. 119) and the conventional cell measures 4.3191, 4.3191 and 10.0465 Å, with angles of 90.00, 90.00 and 90.00 degrees. The distinct sites, in fractional coordinates, are Zr at (0.0000, 0.0000, 0.0000), Tl at (0.0000, 0.5000, 0.7500), In at (0.0000, 0.0000, 0.5000) and In at (0.0000, 0.5000, 0.2500).


Entry from Alexandria: Zr12TlIn3 after structural relaxation (PBE).

The formation enthalpy at 0 K comes out at -213 meV per atom. The energy comes out at -7.285 eV/atom. The value obtained for the spin magnetization is 0.00 μB per formula unit.

The space group is P4/mmm (No. 123) and the conventional cell measures 4.4796, 4.4796 and 17.8734 Å, with angles of 90.00, 90.00 and 90.00 degrees. The distinct sites, in fractional coordinates, are Zr at (0.0000, 0.0000, 0.0000), Zr at (0.0000, 0.0000, 0.2498), Zr at (0.0000, 0.0000, 0.5000), Zr at (0.0000, 0.5000, 0.1248), Zr at (0.0000, 0.5000, 0.3741), Tl at (0.5000, 0.5000, 0.5000), In at (0.5000, 0.5000, 0.0000) and In at (0.5000, 0.5000, 0.2497).